Entry a
An optimized crystal structure of Pr3Sm2Y7, computed with PBE-GGA.

Structure (POSCAR):
```
Pr3Sm2Y7
1.0
3.677 0.000 0.000
0.000 5.684 0.000
-1.839 0.000 20.649
Pr Sm Y
3 2 7
Direct
0.000 0.000 0.000
0.330 0.500 0.661
0.670 0.500 0.339
0.137 0.000 0.274
0.863 0.000 0.726
0.084 0.500 0.168
0.215 0.000 0.430
0.433 0.000 0.866
0.500 0.500 0.000
0.567 0.000 0.134
0.785 0.000 0.570
0.916 0.500 0.832
```

## Properties
Mass density: 5.178 g/cm3
M_tot: 1.355 μB/cell



Entry b
An optimized crystal structure of Pr3Sm2Y7, computed with PBE-GGA.

Structure (POSCAR):
```
Pr3Sm2Y7
1.0
5.905 0.000 0.000
0.000 3.619 0.000
-1.050 0.000 18.999
Pr Sm Y
3 2 7
Direct
0.000 0.000 0.000
0.278 0.500 0.633
0.722 0.500 0.367
0.210 0.000 0.292
0.790 0.000 0.708
0.189 0.500 0.143
0.243 0.000 0.462
0.308 0.000 0.826
0.500 0.500 0.000
0.692 0.000 0.174
0.757 0.000 0.538
0.811 0.500 0.857
```

## Properties
Mass density: 5.505 g/cm3
M_tot: 0.000 μB/cell



Stability verdict: entry b, ahead by 0.153 eV/atom



Entry a
An optimized crystal structure of Pr5SmY2, computed with PBE-GGA.

Structure (POSCAR):
```
Pr5SmY2
1.0
7.329 0.000 0.000
0.000 14.660 0.000
0.000 0.000 5.188
Pr Sm Y
10 2 4
Direct
0.000 0.000 0.000
0.001 0.251 0.000
0.249 0.624 0.500
0.251 0.124 0.500
0.499 0.751 0.000
0.500 0.500 0.000
0.501 0.249 0.000
0.749 0.876 0.500
0.751 0.376 0.500
0.999 0.749 0.000
0.000 0.500 0.000
0.500 0.000 0.000
0.250 0.376 0.500
0.250 0.876 0.500
0.750 0.124 0.500
0.750 0.624 0.500
```

## Properties
Mass density: 6.154 g/cm3
M_tot: 0.000 μB/cell



Entry b
An optimized crystal structure of Pr5SmY2, computed with PBE-GGA.

Structure (POSCAR):
```
Pr5SmY2
1.0
7.365 -6.143 0.000
7.365 6.143 0.000
-2.707 0.000 6.230
Pr Sm Y
10 2 4
Direct
0.115 0.632 0.116
0.240 0.760 0.750
0.249 0.273 0.794
0.273 0.249 0.294
0.368 0.885 0.384
0.632 0.115 0.616
0.727 0.751 0.706
0.751 0.727 0.206
0.760 0.240 0.250
0.885 0.368 0.884
0.493 0.507 0.250
0.507 0.493 0.750
0.000 0.000 0.000
0.000 0.000 0.500
0.000 0.500 0.500
0.500 0.000 0.000
```

## Properties
Mass density: 6.085 g/cm3
M_tot: 0.000 μB/cell



Stability verdict: entry a, ahead by 0.186 eV/atom



Entry a
An optimized crystal structure of Pr5Sm2Y3, computed with PBE-GGA.

Structure (POSCAR):
```
Pr5Sm2Y3
1.0
-6.173 8.718 3.277
6.173 -8.718 3.277
6.173 8.718 -3.277
Pr Sm Y
10 4 6
Direct
0.171 0.246 0.417
0.250 0.250 0.000
0.250 0.503 0.253
0.250 0.997 0.747
0.329 0.746 0.075
0.671 0.254 0.925
0.750 0.003 0.253
0.750 0.497 0.747
0.750 0.750 0.000
0.829 0.754 0.583
0.169 0.585 0.754
0.331 0.085 0.416
0.669 0.915 0.584
0.831 0.415 0.246
0.168 0.911 0.079
0.250 0.750 0.500
0.332 0.411 0.743
0.668 0.589 0.257
0.750 0.250 0.500
0.832 0.089 0.921
```

## Properties
Mass density: 5.988 g/cm3
M_tot: 0.000 μB/cell



Entry b
An optimized crystal structure of Pr5Sm2Y3, computed with PBE-GGA.

Structure (POSCAR):
```
Pr5Sm2Y3
1.0
5.483 -7.445 0.000
5.483 7.445 0.000
-5.467 0.000 8.618
Pr Sm Y
10 4 6
Direct
0.014 0.986 0.750
0.129 0.385 0.758
0.226 0.774 0.750
0.385 0.129 0.258
0.476 0.524 0.250
0.524 0.476 0.750
0.615 0.871 0.742
0.774 0.226 0.250
0.871 0.615 0.242
0.986 0.014 0.250
0.026 0.279 0.061
0.279 0.026 0.561
0.721 0.974 0.439
0.974 0.721 0.939
0.221 0.471 0.445
0.269 0.731 0.250
0.471 0.221 0.945
0.529 0.779 0.055
0.731 0.269 0.750
0.779 0.529 0.555
```

## Properties
Mass density: 6.003 g/cm3
M_tot: 0.000 μB/cell



Stability verdict: entry b, ahead by 0.096 eV/atom